[1]
A plane-wave DFT calculation with PBEsol was carried out for crystalline CrRuBr2 at its relaxed geometry.

Unit cell a=3.2841 b=5.8498 c=7.9803 alpha=90.00 beta=90.00 gamma=90.00
With the nearest neighbours (Å) after each atom.
Space group Cmmm (No. 65)
One atom of each set of equivalent atoms:
Cr (0.0000, 0.0000, 0.0000) [2 per cell]  4 Br 2.61
Ru (0.0000, 0.0000, 0.5000) [2 per cell]  4 Br 2.56
Br (0.0000, 0.5000, 0.2547) [4 per cell]  2 Ru 2.56, 2 Cr 2.61

Calculated values
Magnetic moment ... 5.8 μB/f.u.
Energy relative to the elements, uncorrected ... 18.595 kcal/mol of atoms
Polymorph energy (0 for the lowest one) ... 0.1962 eV per atom

=====

[2]
A plane-wave DFT calculation with PBEsol was carried out for crystalline CrRuBr2 at its relaxed geometry.

Unit cell a=3.3858 b=4.0669 c=5.4339 alpha=90.00 beta=90.96 gamma=90.00
With the nearest neighbours (Å) after each atom.
Space group P2/m (No. 10)
One atom of each set of equivalent atoms:
Cr (0.0000, 0.0000, 0.0000) [1 per cell]  4 Br 2.64
Ru (0.5000, 0.0000, 0.5000) [1 per cell]  4 Br 2.53
Br (0.2776, 0.5000, 0.2586) [2 per cell]  2 Ru 2.53, 2 Cr 2.64

Calculated values
Magnetic moment ... 4.7 μB/f.u.
Energy relative to the elements, uncorrected ... 16.638 kcal/mol of atoms
Polymorph energy (0 for the lowest one) ... 0.1113 eV per atom

=====

[3]
A plane-wave DFT calculation with PBEsol was carried out for crystalline CrRuSeBr2 at its relaxed geometry.

Unit cell a=4.8633 b=4.8633 c=4.8984 alpha=90.00 beta=90.00 gamma=90.00
With the nearest neighbours (Å) after each atom.
Space group P4/mmm (No. 123)
One atom of each set of equivalent atoms:
Cr (0.0000, 0.0000, 0.0000) [1 per cell]  4 Br 2.43, 2 Se 2.45
Ru (0.5000, 0.5000, 0.5000) [1 per cell]  4 Se 3.44, 8 Br 3.45
Se (0.0000, 0.0000, 0.5000) [1 per cell]  2 Cr 2.45
Br (0.0000, 0.5000, 0.0000) [2 per cell]  2 Cr 2.43

Calculated values
Magnetic moment ... 6.8 μB/f.u.
Energy relative to the elements, uncorrected ... 19.065 kcal/mol of atoms

=====

[4]
A plane-wave DFT calculation with PBEsol was carried out for crystalline CrS2Br at its relaxed geometry.

Unit cell a=2.8074 b=2.8074 c=34.5773 alpha=90.00 beta=90.00 gamma=120.00
With the nearest neighbours (Å) after each atom.
Space group R-3m (No. 166, hexagonal axes)
One atom of each set of equivalent atoms:
Cr (0.0000, 0.0000, 0.0000) [3 per cell]  2 S 2.20
S (0.0000, 0.0000, 0.0637) [6 per cell]  1 Cr 2.20
Br (0.0000, 0.0000, 0.5000) [3 per cell]  6 Br 2.81

Calculated values
Magnetic moment ... 2.5 μB/f.u.
Energy relative to the elements, uncorrected ... 12.698 kcal/mol of atoms

=====

[5]
A plane-wave DFT calculation with PBEsol was carried out for crystalline CrSb2Br at its relaxed geometry.

Unit cell a=4.4243 b=4.4243 c=9.3694 alpha=90.00 beta=90.00 gamma=90.00
With the nearest neighbours (Å) after each atom.
Space group I4/mmm (No. 139)
One atom of each set of equivalent atoms:
Cr (0.0000, 0.0000, 0.0000) [2 per cell]  4 Br 3.13, 8 Sb 3.22
Sb (0.0000, 0.5000, 0.2500) [4 per cell]  4 Sb 3.13, 4 Cr 3.22, 4 Br 3.22
Br (0.0000, 0.0000, 0.5000) [2 per cell]  4 Cr 3.13, 8 Sb 3.22

Calculated values
Magnetic moment ... 3.7 μB/f.u.
Energy relative to the elements, uncorrected ... 9.998 kcal/mol of atoms

=====

[6]
A plane-wave DFT calculation with PBEsol was carried out for crystalline CrSb3Br at its relaxed geometry.

Unit cell a=5.3931 b=5.3931 c=5.3931 alpha=90.00 beta=90.00 gamma=90.00
With the nearest neighbours (Å) after each atom.
Space group Pm-3m (No. 221)
One atom of each set of equivalent atoms:
Cr (0.0000, 0.0000, 0.0000) [1 per cell]  12 Sb 3.81
Sb (0.0000, 0.5000, 0.5000) [3 per cell]  2 Br 2.70
Br (0.5000, 0.5000, 0.5000) [1 per cell]  6 Sb 2.70

Calculated values
Magnetic moment ... 3.4 μB/f.u.
Energy relative to the elements, uncorrected ... 29.785 kcal/mol of atoms

=====

[7]
A plane-wave DFT calculation with PBEsol was carried out for crystalline CrSnSbBr2 at its relaxed geometry.

Unit cell a=5.3739 b=5.3739 c=6.0272 alpha=90.00 beta=90.00 gamma=90.00
With the nearest neighbours (Å) after each atom.
Space group P4/mmm (No. 123)
One atom of each set of equivalent atoms:
Cr (0.0000, 0.0000, 0.0000) [1 per cell]  4 Sn 3.80, 8 Br 4.04
Sn (0.5000, 0.5000, 0.0000) [1 per cell]  2 Sb 3.01
Sb (0.5000, 0.5000, 0.5000) [1 per cell]  4 Br 2.69
Br (0.0000, 0.5000, 0.5000) [2 per cell]  2 Sb 2.69

Calculated values
Magnetic moment ... 5.2 μB/f.u.
Energy relative to the elements, uncorrected ... 16.037 kcal/mol of atoms

=====

[8]
A plane-wave DFT calculation with PBEsol was carried out for crystalline ScCrBr3 at its relaxed geometry.

Unit cell a=5.0753 b=5.0753 c=5.0753 alpha=90.00 beta=90.00 gamma=90.00
With the nearest neighbours (Å) after each atom.
Space group Pm-3m (No. 221)
One atom of each set of equivalent atoms:
Sc (0.0000, 0.0000, 0.0000) [1 per cell]  12 Br 3.59
Cr (0.5000, 0.5000, 0.5000) [1 per cell]  6 Br 2.54
Br (0.0000, 0.5000, 0.5000) [3 per cell]  2 Cr 2.54

Calculated values
Magnetic moment ... 5.9 μB/f.u.
Energy relative to the elements, uncorrected ... -5.367 kcal/mol of atoms

=====

[9]
A plane-wave DFT calculation with PBEsol was carried out for crystalline Sc2CrBr at its relaxed geometry.

Unit cell a=6.8341 b=6.8341 c=6.8341 alpha=90.00 beta=90.00 gamma=90.00
With the nearest neighbours (Å) after each atom.
Space group Fm-3m (No. 225)
One atom of each set of equivalent atoms:
Sc (0.2500, 0.2500, 0.2500) [8 per cell]  4 Cr 2.96, 4 Br 2.96
Cr (0.0000, 0.0000, 0.0000) [4 per cell]  8 Sc 2.96
Br (0.0000, 0.0000, 0.5000) [4 per cell]  8 Sc 2.96

Calculated values
Magnetic moment ... 3.5 μB/f.u.
Energy relative to the elements, uncorrected ... 5.468 kcal/mol of atoms
Polymorph energy (0 for the lowest one) ... 0.4620 eV per atom

=====

[10]
A plane-wave DFT calculation with PBEsol was carried out for crystalline Sc2CrBr at its relaxed geometry.

Unit cell a=3.2989 b=3.2989 c=24.5847 alpha=90.00 beta=90.00 gamma=120.00
With the nearest neighbours (Å) after each atom.
Space group R-3m (No. 166, hexagonal axes)
One atom of each set of equivalent atoms:
Sc (0.0000, 0.0000, 0.2458) [6 per cell]  3 Cr 2.72, 3 Br 2.87
Cr (0.0000, 0.0000, 0.5000) [3 per cell]  6 Sc 2.72
Br (0.0000, 0.0000, 0.0000) [3 per cell]  6 Sc 2.87

Calculated values
Magnetic moment ... 1.8 μB/f.u.
Energy relative to the elements, uncorrected ... -4.031 kcal/mol of atoms
Polymorph energy (0 for the lowest one) ... 0.0501 eV per atom

=====

[11]
A plane-wave DFT calculation with PBEsol was carried out for crystalline Sc2CrBr at its relaxed geometry.

Unit cell a=3.2190 b=3.2190 c=7.5014 alpha=90.00 beta=90.00 gamma=90.00
With the nearest neighbours (Å) after each atom.
Space group P4/mmm (No. 123)
One atom of each set of equivalent atoms:
Sc (0.0000, 0.0000, 0.2106) [2 per cell]  4 Cr 2.77
Cr (0.5000, 0.5000, 0.0000) [1 per cell]  8 Sc 2.77
Br (0.5000, 0.5000, 0.5000) [1 per cell]  8 Sc 3.15, 4 Br 3.22

Calculated values
Magnetic moment ... 1.6 μB/f.u.
Energy relative to the elements, uncorrected ... -5.185 kcal/mol of atoms
Polymorph energy (0 for the lowest one) ... 0.0000 eV per atom

=====

[12]
A plane-wave DFT calculation with PBEsol was carried out for crystalline ScCrBr2 at its relaxed geometry.

Unit cell a=3.4131 b=6.1314 c=8.5331 alpha=90.00 beta=90.00 gamma=90.00
With the nearest neighbours (Å) after each atom.
Space group Cmmm (No. 65)
One atom of each set of equivalent atoms:
Sc (0.0000, 0.0000, 0.0000) [2 per cell]  4 Br 2.77
Cr (0.0000, 0.0000, 0.5000) [2 per cell]  4 Br 2.69
Br (0.0000, 0.5000, 0.2557) [4 per cell]  2 Cr 2.69, 2 Sc 2.77

Calculated values
Magnetic moment ... 4.6 μB/f.u.
Energy relative to the elements, uncorrected ... -3.587 kcal/mol of atoms

=====

[13]
A plane-wave DFT calculation with PBEsol was carried out for crystalline ScCr3Br at its relaxed geometry.

Unit cell a=4.7970 b=4.7970 c=4.7970 alpha=90.00 beta=90.00 gamma=90.00
With the nearest neighbours (Å) after each atom.
Space group Pm-3m (No. 221)
One atom of each set of equivalent atoms:
Sc (0.0000, 0.0000, 0.0000) [1 per cell]  6 Cr 2.40
Cr (0.0000, 0.0000, 0.5000) [3 per cell]  2 Sc 2.40
Br (0.5000, 0.5000, 0.5000) [1 per cell]  12 Cr 3.39

Calculated values
Magnetic moment ... 11.3 μB/f.u.
Energy relative to the elements, uncorrected ... 44.318 kcal/mol of atoms

=====

[14]
A plane-wave DFT calculation with PBEsol was carried out for crystalline Cr3SeBr at its relaxed geometry.

Unit cell a=4.9619 b=4.9619 c=4.9619 alpha=90.00 beta=90.00 gamma=90.00
With the nearest neighbours (Å) after each atom.
Space group Pm-3m (No. 221)
One atom of each set of equivalent atoms:
Cr (0.0000, 0.0000, 0.5000) [3 per cell]  2 Se 2.48
Se (0.0000, 0.0000, 0.0000) [1 per cell]  6 Cr 2.48
Br (0.5000, 0.5000, 0.5000) [1 per cell]  12 Cr 3.51

Calculated values
Magnetic moment ... 14.8 μB/f.u.
Energy relative to the elements, uncorrected ... 18.759 kcal/mol of atoms

=====

[15]
A plane-wave DFT calculation with PBEsol was carried out for crystalline CrSe2Br at its relaxed geometry.

Unit cell a=3.7361 b=3.7361 c=6.5563 alpha=90.00 beta=90.00 gamma=90.00
With the nearest neighbours (Å) after each atom.
Space group P4/mmm (No. 123)
One atom of each set of equivalent atoms:
Cr (0.0000, 0.0000, 0.0000) [1 per cell]  4 Br 2.64
Se (0.0000, 0.5000, 0.5000) [2 per cell]  4 Se 2.64
Br (0.5000, 0.5000, 0.0000) [1 per cell]  4 Cr 2.64

Calculated values
Magnetic moment ... 4.5 μB/f.u.
Energy relative to the elements, uncorrected ... 4.291 kcal/mol of atoms

=====

[16]
A plane-wave DFT calculation with PBEsol was carried out for crystalline CrTcSeBr2 at its relaxed geometry.

Unit cell a=5.1397 b=5.1397 c=4.6390 alpha=90.00 beta=90.00 gamma=90.00
With the nearest neighbours (Å) after each atom.
Space group P4/mmm (No. 123)
One atom of each set of equivalent atoms:
Cr (0.0000, 0.0000, 0.0000) [1 per cell]  8 Br 3.46, 4 Se 3.63
Tc (0.5000, 0.5000, 0.5000) [1 per cell]  2 Se 2.32, 4 Br 2.57
Se (0.5000, 0.5000, 0.0000) [1 per cell]  2 Tc 2.32
Br (0.0000, 0.5000, 0.5000) [2 per cell]  2 Tc 2.57

Calculated values
Magnetic moment ... 5.9 μB/f.u.
Energy relative to the elements, uncorrected ... 13.212 kcal/mol of atoms

=====

[17]
A plane-wave DFT calculation with PBEsol was carried out for crystalline CrTeSeBr2 at its relaxed geometry.

Unit cell a=4.8375 b=4.8375 c=5.1127 alpha=90.00 beta=90.00 gamma=90.00
With the nearest neighbours (Å) after each atom.
Space group P4/mmm (No. 123)
One atom of each set of equivalent atoms:
Cr (0.0000, 0.0000, 0.0000) [1 per cell]  4 Br 2.42, 2 Se 2.56
Te (0.5000, 0.5000, 0.5000) [1 per cell]  4 Se 3.42, 8 Br 3.52
Se (0.0000, 0.0000, 0.5000) [1 per cell]  2 Cr 2.56
Br (0.0000, 0.5000, 0.0000) [2 per cell]  2 Cr 2.42

Calculated values
Magnetic moment ... 3.0 μB/f.u.
Energy relative to the elements, uncorrected ... 0.978 kcal/mol of atoms

=====

[18]
A plane-wave DFT calculation with PBEsol was carried out for crystalline TlCrSe2Br at its relaxed geometry.

Unit cell a=5.2593 b=5.2593 c=5.4860 alpha=90.00 beta=90.00 gamma=90.00
With the nearest neighbours (Å) after each atom.
Space group P4/mmm (No. 123)
One atom of each set of equivalent atoms:
Tl (0.0000, 0.0000, 0.0000) [1 per cell]  4 Se 2.63, 2 Br 2.74
Cr (0.5000, 0.5000, 0.5000) [1 per cell]  4 Br 3.72, 8 Se 3.80
Se (0.0000, 0.5000, 0.0000) [2 per cell]  2 Tl 2.63
Br (0.0000, 0.0000, 0.5000) [1 per cell]  2 Tl 2.74

Calculated values
Magnetic moment ... 4.3 μB/f.u.
Energy relative to the elements, uncorrected ... 16.720 kcal/mol of atoms

=====

[19]
A plane-wave DFT calculation with PBEsol was carried out for crystalline ZnCrSe2Br at its relaxed geometry.

Unit cell a=4.6995 b=4.6995 c=5.0903 alpha=90.00 beta=90.00 gamma=90.00
With the nearest neighbours (Å) after each atom.
Space group P4/mmm (No. 123)
One atom of each set of equivalent atoms:
Zn (0.0000, 0.0000, 0.0000) [1 per cell]  4 Br 3.32, 8 Se 3.46
Cr (0.5000, 0.5000, 0.5000) [1 per cell]  4 Se 2.35, 2 Br 2.55
Se (0.0000, 0.5000, 0.5000) [2 per cell]  2 Cr 2.35
Br (0.5000, 0.5000, 0.0000) [1 per cell]  2 Cr 2.55

Calculated values
Magnetic moment ... 2.0 μB/f.u.
Energy relative to the elements, uncorrected ... 3.383 kcal/mol of atoms

=====

[20]
A plane-wave DFT calculation with PBEsol was carried out for crystalline ZnCrSeBr2 at its relaxed geometry.

Unit cell a=5.0427 b=5.0427 c=4.7080 alpha=90.00 beta=90.00 gamma=90.00
With the nearest neighbours (Å) after each atom.
Space group P4/mmm (No. 123)
One atom of each set of equivalent atoms:
Zn (0.0000, 0.0000, 0.0000) [1 per cell]  8 Br 3.45, 4 Se 3.57
Cr (0.5000, 0.5000, 0.5000) [1 per cell]  2 Se 2.35, 4 Br 2.52
Se (0.5000, 0.5000, 0.0000) [1 per cell]  2 Cr 2.35
Br (0.0000, 0.5000, 0.5000) [2 per cell]  2 Cr 2.52

Calculated values
Magnetic moment ... 2.4 μB/f.u.
Energy relative to the elements, uncorrected ... 0.155 kcal/mol of atoms